Here is an optimized crystal structure of Tl2Hg8Pd from the Alexandria database. Energies are from PBE.

Cell lengths 4.744, 4.744, 13.113 Å; angles 90.00, 90.00, 90.00 degrees
Element x y z (fractional)
1 Tl 0.000 0.000 0.303
2 Tl 0.000 0.000 0.697
3 Hg 0.000 0.500 0.500
4 Hg 0.500 0.000 0.500
5 Hg 0.500 0.500 0.312
6 Hg 0.500 0.500 0.688
7 Hg 0.000 0.500 0.121
8 Hg 0.500 0.000 0.121
9 Hg 0.000 0.500 0.879
10 Hg 0.500 0.000 0.879
11 Pd 0.000 0.000 0.000

For the spin magnetization, the calculation gives 0.00 μB/atom. Its symmetry is No. 123. For the electronic total energy, the calculation gives -1.147 eV per atom. As for the density of states at the Fermi level: 0.28 states/eV/atom. The formation energy comes out at -25.5 meV/atom.